Record 1
{
  "formula": "HgPbI2",
  "functional": "GGA-PBEsol",
  "state": "optimized geometry",
  "lattice": [[7.997, 0.000, 0.000], [0.000, 7.997, 0.000], [0.000, 0.000, 7.997]],
  "species": ["Hg", "Hg", "Hg", "Hg", "Pb", "Pb", "Pb", "Pb", "I", "I", "I", "I", "I", "I", "I", "I"],
  "fractional_positions": [[0.000, 0.000, 0.000], [0.000, 0.500, 0.500], [0.500, 0.000, 0.500], [0.500, 0.500, 0.000], [0.000, 0.000, 0.500], [0.000, 0.500, 0.000], [0.500, 0.000, 0.000], [0.500, 0.500, 0.500], [0.250, 0.250, 0.250], [0.250, 0.250, 0.750], [0.250, 0.750, 0.250], [0.250, 0.750, 0.750], [0.750, 0.250, 0.250], [0.750, 0.250, 0.750], [0.750, 0.750, 0.250], [0.750, 0.750, 0.750]],
  "formation_energy_uncorrected_ev_per_fu": -1.0
}


Record 2
{
  "formula": "ZrNi2Os",
  "functional": "GGA-PBEsol",
  "state": "optimized geometry",
  "lattice": [[3.216, 0.000, 0.000], [0.000, 3.216, 0.000], [0.000, 0.000, 5.356]],
  "species": ["Zr", "Ni", "Ni", "Os"],
  "fractional_positions": [[0.000, 0.000, 0.000], [0.500, 0.500, 0.270], [0.500, 0.500, 0.730], [0.000, 0.000, 0.500]],
  "dft_energy_ry_per_atom": -0.6219
}


Record 3
{
  "formula": "SiSb2P",
  "functional": "GGA-PBEsol",
  "state": "optimized geometry",
  "lattice": [[3.364, 0.000, 0.000], [0.000, 4.788, 0.000], [0.000, 0.000, 10.381]],
  "species": ["Si", "Si", "Sb", "Sb", "Sb", "Sb", "P", "P"],
  "fractional_positions": [[0.000, 0.000, 0.000], [0.500, 0.500, 0.500], [0.000, 0.000, 0.453], [0.000, 0.500, 0.258], [0.500, 0.000, 0.758], [0.500, 0.500, 0.953], [0.000, 0.500, 0.655], [0.500, 0.000, 0.155]],
  "formation_energy_uncorrected_ev_per_fu": 1.1
}


Record 4
{
  "formula": "CaTc2Se",
  "functional": "GGA-PBEsol",
  "state": "optimized geometry",
  "lattice": [[3.420, 0.000, 0.000], [0.000, 4.061, 0.000], [0.000, 0.000, 4.880]],
  "species": ["Ca", "Tc", "Tc", "Se"],
  "fractional_positions": [[0.000, 0.000, 0.000], [0.000, 0.500, 0.500], [0.500, 0.000, 0.500], [0.500, 0.500, 0.000]],
  "formation_energy_uncorrected_ev_per_fu": 1.1
}


Record 5
{
  "formula": "InRe3Cl",
  "functional": "GGA-PBEsol",
  "state": "optimized geometry",
  "lattice": [[4.907, 0.000, 0.000], [0.000, 4.907, 0.000], [0.000, 0.000, 4.907]],
  "species": ["In", "Re", "Re", "Re", "Cl"],
  "fractional_positions": [[0.000, 0.000, 0.000], [0.000, 0.000, 0.500], [0.000, 0.500, 0.000], [0.500, 0.000, 0.000], [0.500, 0.500, 0.500]],
  "formation_energy_uncorrected_ev_per_fu": 17.6
}


Record 6
{
  "formula": "Ba2CdSe3",
  "functional": "GGA-PBEsol",
  "state": "optimized geometry",
  "lattice": [[9.208, 0.000, 0.000], [0.000, 4.477, 0.000], [0.000, 0.000, 17.792]],
  "species": ["Ba", "Ba", "Ba", "Ba", "Ba", "Ba", "Ba", "Ba", "Cd", "Cd", "Cd", "Cd", "Se", "Se", "Se", "Se", "Se", "Se", "Se", "Se", "Se", "Se", "Se", "Se"],
  "fractional_positions": [[0.076, 0.250, 0.215], [0.241, 0.250, 0.960], [0.259, 0.750, 0.460], [0.424, 0.750, 0.715], [0.576, 0.250, 0.285], [0.741, 0.250, 0.540], [0.759, 0.750, 0.040], [0.924, 0.750, 0.785], [0.125, 0.250, 0.633], [0.375, 0.750, 0.133], [0.625, 0.250, 0.867], [0.875, 0.750, 0.367], [0.014, 0.250, 0.405], [0.115, 0.750, 0.072], [0.189, 0.250, 0.778], [0.311, 0.750, 0.278], [0.385, 0.250, 0.572], [0.486, 0.750, 0.905], [0.514, 0.250, 0.095], [0.615, 0.750, 0.428], [0.689, 0.250, 0.722], [0.811, 0.750, 0.222], [0.885, 0.250, 0.928], [0.986, 0.750, 0.595]],
  "formation_energy_uncorrected_ev_per_fu": -9.4
}


Record 7
{
  "formula": "TlAsCl",
  "functional": "GGA-PBEsol",
  "state": "optimized geometry",
  "lattice": [[3.206, 0.000, 0.000], [0.000, 5.275, 0.000], [0.000, 0.000, 9.199]],
  "species": ["Tl", "Tl", "As", "As", "Cl", "Cl"],
  "fractional_positions": [[0.000, 0.000, 0.000], [0.500, 0.500, 0.500], [0.000, 0.000, 0.414], [0.500, 0.500, 0.914], [0.000, 0.000, 0.660], [0.500, 0.500, 0.160]],
  "formation_energy_uncorrected_ev_per_fu": -0.2
}


Record 8
{
  "formula": "CoOsC3",
  "functional": "GGA-PBEsol",
  "state": "optimized geometry",
  "lattice": [[3.920, 0.000, 0.000], [0.000, 3.920, 0.000], [0.000, 0.000, 3.920]],
  "species": ["Co", "Os", "C", "C", "C"],
  "fractional_positions": [[0.000, 0.000, 0.000], [0.500, 0.500, 0.500], [0.000, 0.500, 0.500], [0.500, 0.000, 0.500], [0.500, 0.500, 0.000]],
  "dft_energy_ry_per_atom": -0.5524
}


Number 1: M_tot 0.0 μB per formula unit, calculated volume 31.96 Å³/atom. Number 2: M_tot 0.0 μB per formula unit, calculated volume 13.84 Å³/atom. Number 3: M_tot 0.0 μB per formula unit, calculated volume 20.90 Å³/atom. Number 4: M_tot 0.0 μB per formula unit, calculated volume 16.94 Å³/atom. Number 5: M_tot 5.4 μB per formula unit, calculated volume 23.62 Å³/atom. Number 6: M_tot 0.0 μB per formula unit, calculated volume 30.56 Å³/atom. Number 7: M_tot 0.0 μB per formula unit, calculated volume 25.92 Å³/atom. Number 8: M_tot 1.2 μB per formula unit, calculated volume 12.05 Å³/atom.